Here is an optimized crystal structure of Tb5Nd4Th2 from Alexandria. Energies are from PBE-GGA.

```
Tb5Nd4Th2
1.0
-0.427 1.929 -2.907
-8.925 -6.758 -3.175
-1.137 7.961 7.575
Tb Nd Th
5 4 2
Direct
0.820 0.111 0.640 Tb
0.820 0.529 0.640 Tb
0.180 0.471 0.360 Tb
0.180 0.889 0.360 Tb
0.500 0.000 0.000 Tb
0.000 0.263 0.000 Nd
0.591 0.591 0.181 Nd
0.000 0.737 0.000 Nd
0.409 0.409 0.819 Nd
0.201 0.201 0.402 Th
0.799 0.799 0.598 Th
```

## Properties
- distance to the lowest polymorph of the same formula (eV/atom) = 0.232
- total energy (eV/atom) = -4.928

---

Here is an optimized crystal structure of Tb8Nd2Th3 from Alexandria. Energies are from PBE-GGA.

```
Tb8Nd2Th3
1.0
-4.351 1.007 -3.332
2.657 -5.403 -5.103
-6.677 -4.487 7.377
Tb Nd Th
8 2 3
Direct
0.001 0.665 0.330 Tb
0.999 0.335 0.670 Tb
0.000 0.125 0.249 Tb
0.000 0.875 0.751 Tb
0.499 0.600 0.790 Tb
0.499 0.190 0.790 Tb
0.501 0.810 0.210 Tb
0.501 0.400 0.210 Tb
0.498 0.239 0.479 Nd
0.502 0.761 0.521 Nd
0.500 0.000 0.000 Th
0.000 0.296 0.000 Th
0.000 0.704 0.000 Th
```

## Properties
- total energy (eV/atom) = -5.031

---

Here is an optimized crystal structure of Tb14NdTh from Alexandria. Energies are from PBE-GGA.

```
Tb14NdTh
1.0
-3.175 6.351 0.959
-2.769 -4.710 -4.636
-6.473 -4.513 8.450
Tb Nd Th
14 1 1
Direct
0.041 0.959 0.000 Tb
0.541 0.459 0.000 Tb
0.209 0.291 0.500 Tb
0.042 0.458 0.000 Tb
0.709 0.791 0.500 Tb
0.542 0.958 0.000 Tb
0.378 0.127 0.752 Tb
0.378 0.127 0.248 Tb
0.873 0.622 0.752 Tb
0.873 0.622 0.248 Tb
0.375 0.625 0.752 Tb
0.375 0.625 0.248 Tb
0.873 0.127 0.750 Tb
0.873 0.127 0.250 Tb
0.209 0.791 0.500 Nd
0.708 0.292 0.500 Th
```

## Properties
- total energy (eV/atom) = -4.799

---

Here is an optimized crystal structure of Tb12Nd5Th2 from Alexandria. Energies are from PBE-GGA.

```
Tb12Nd5Th2
1.0
9.391 0.000 0.000
-4.696 7.787 1.104
0.000 -1.647 8.568
Tb Nd Th
12 5 2
Direct
0.929 0.858 0.123 Tb
0.032 0.708 0.758 Tb
0.675 0.708 0.758 Tb
0.177 0.739 0.325 Tb
0.562 0.739 0.325 Tb
0.443 0.887 0.666 Tb
0.557 0.113 0.334 Tb
0.823 0.261 0.675 Tb
0.438 0.261 0.675 Tb
0.968 0.292 0.242 Tb
0.325 0.292 0.242 Tb
0.071 0.142 0.877 Tb
0.232 0.465 0.568 Nd
0.293 0.586 0.971 Nd
0.000 0.000 0.500 Nd
0.707 0.414 0.029 Nd
0.768 0.535 0.432 Nd
0.670 0.000 0.000 Th
0.330 0.000 0.000 Th
```

## Properties
- distance to the lowest polymorph of the same formula (eV/atom) = 0.040
- total energy (eV/atom) = -4.818

---

Here is an optimized crystal structure of Tb6Nd10Th from Alexandria. Energies are from PBE-GGA.

```
Tb6Nd10Th
1.0
-0.657 5.809 3.842
-9.673 -1.639 0.824
6.209 -3.714 6.677
Tb Nd Th
6 10 1
Direct
0.690 0.368 0.368 Tb
0.690 0.000 0.632 Tb
0.690 0.632 0.000 Tb
0.310 0.632 0.632 Tb
0.310 0.000 0.368 Tb
0.310 0.368 0.000 Tb
0.818 0.725 0.725 Nd
0.818 0.000 0.275 Nd
0.818 0.275 0.000 Nd
0.182 0.275 0.275 Nd
0.182 0.000 0.725 Nd
0.182 0.725 0.000 Nd
0.500 0.333 0.667 Nd
0.500 0.667 0.333 Nd
0.000 0.667 0.333 Nd
0.000 0.333 0.667 Nd
0.500 0.000 0.000 Th
```

## Properties
- total energy (eV/atom) = -4.728

---

Here is an optimized crystal structure of TbNd2Th4 from Alexandria. Energies are from PBE-GGA.

```
TbNd2Th4
1.0
3.556 0.000 -0.469
0.000 3.589 0.000
0.608 0.000 18.320
Tb Nd Th
1 2 4
Direct
0.500 0.000 0.000 Tb
0.794 0.500 0.589 Nd
0.206 0.500 0.411 Nd
0.930 0.500 0.859 Th
0.637 0.000 0.274 Th
0.070 0.500 0.141 Th
0.363 0.000 0.726 Th
```

## Properties
- total energy (eV/atom) = -6.189

---

Here is an optimized crystal structure of Tb7NdTh2 from Alexandria. Energies are from PBE-GGA.

```
Tb7NdTh2
1.0
5.399 1.144 0.792
1.252 8.264 -1.179
1.252 1.806 8.150
Tb Nd Th
7 1 2
Direct
0.000 0.662 0.338 Tb
0.000 0.338 0.662 Tb
0.748 0.101 0.402 Tb
0.252 0.899 0.598 Tb
0.748 0.402 0.101 Tb
0.252 0.598 0.899 Tb
0.500 0.500 0.500 Tb
0.000 0.000 0.000 Nd
0.500 0.843 0.157 Th
0.500 0.157 0.843 Th
```

## Properties
- distance to the lowest polymorph of the same formula (eV/atom) = 0.000
- total energy (eV/atom) = -4.775

---

Here is an optimized crystal structure of Tb7Nd4Th from Alexandria. Energies are from PBE-GGA.

```
Tb7Nd4Th
1.0
7.182 0.150 0.202
3.393 7.073 1.816
-1.967 -0.124 7.811
Tb Nd Th
7 4 1
Direct
0.752 0.495 0.000 Tb
0.248 0.505 0.000 Tb
0.001 0.329 0.671 Tb
0.999 0.671 0.329 Tb
0.246 0.836 0.672 Tb
0.500 0.000 0.000 Tb
0.754 0.164 0.328 Tb
0.494 0.671 0.331 Nd
0.506 0.329 0.669 Nd
0.755 0.834 0.672 Nd
0.245 0.166 0.328 Nd
0.000 0.000 0.000 Th
```

## Properties
- distance to the lowest polymorph of the same formula (eV/atom) = 0.000
- total energy (eV/atom) = -4.889

---

Here is an optimized crystal structure of Tb16Nd6Th7 from Alexandria. Energies are from PBE-GGA.

```
Tb16Nd6Th7
1.0
-9.978 4.625 -2.672
-6.975 -5.328 -7.146
-9.590 -4.621 3.843
Tb Nd Th
16 6 7
Direct
0.871 0.871 0.387 Tb
0.871 0.871 0.871 Tb
0.871 0.387 0.871 Tb
0.387 0.871 0.871 Tb
0.129 0.129 0.129 Tb
0.129 0.129 0.613 Tb
0.129 0.613 0.129 Tb
0.613 0.129 0.129 Tb
0.655 0.655 0.036 Tb
0.655 0.655 0.655 Tb
0.655 0.036 0.655 Tb
0.036 0.655 0.655 Tb
0.345 0.345 0.345 Tb
0.345 0.345 0.964 Tb
0.345 0.964 0.345 Tb
0.964 0.345 0.345 Tb
0.260 0.740 0.260 Nd
0.740 0.260 0.740 Nd
0.740 0.260 0.260 Nd
0.260 0.740 0.740 Nd
0.740 0.740 0.260 Nd
0.260 0.260 0.740 Nd
0.000 0.000 0.000 Th
0.500 0.000 0.500 Th
0.000 0.500 0.000 Th
0.000 0.500 0.500 Th
0.500 0.000 0.000 Th
0.000 0.000 0.500 Th
0.500 0.500 0.000 Th
```

## Properties
- total energy (eV/atom) = -5.078

---

Here is an optimized crystal structure of Tb2NdTh from Alexandria. Energies are from PBE-GGA.

```
Tb2NdTh
1.0
-2.471 2.560 4.469
0.329 -2.367 5.189
3.224 2.424 4.046
Nd Tb Th
1 2 1
Direct
0.000 0.000 0.000 Nd
0.250 0.250 0.250 Tb
0.750 0.750 0.750 Tb
0.500 0.500 0.500 Th
```

## Properties
- distance to the lowest polymorph of the same formula (eV/atom) = 0.156
- total energy (eV/atom) = -5.208

---

Here is an optimized crystal structure of TbNdTmTh from Alexandria. Energies are from PBE-GGA.

```
TbNdTmTh
1.0
3.595 0.000 -0.001
-1.797 3.113 0.003
-1.797 -1.048 11.549
Tb Nd Tm Th
1 1 1 1
Direct
0.475 0.135 0.625 Tb
0.968 0.382 0.366 Nd
0.132 0.964 0.110 Tm
0.303 0.549 0.869 Th
```

## Properties
- distance to the lowest polymorph of the same formula (eV/atom) = 0.000
- total energy (eV/atom) = -5.308

---

Here is an optimized crystal structure of TbNd6Tm2Th from Alexandria. Energies are from PBE-GGA.

```
TbNd6Tm2Th
1.0
1.992 3.322 -8.891
-8.484 -1.760 -1.886
1.577 7.788 3.937
Tb Nd Tm Th
2 12 4 2
Direct
0.250 0.408 0.592 Tb
0.750 0.592 0.408 Tb
0.058 0.109 0.762 Nd
0.442 0.238 0.891 Nd
0.942 0.891 0.238 Nd
0.558 0.762 0.109 Nd
0.313 0.991 0.427 Nd
0.187 0.573 0.009 Nd
0.687 0.009 0.573 Nd
0.813 0.427 0.991 Nd
0.118 0.702 0.486 Nd
0.382 0.514 0.298 Nd
0.882 0.298 0.514 Nd
0.618 0.486 0.702 Nd
0.448 0.800 0.709 Tm
0.052 0.291 0.200 Tm
0.552 0.200 0.291 Tm
0.948 0.709 0.800 Tm
0.250 0.969 0.031 Th
0.750 0.031 0.969 Th
```

## Properties
- total energy (eV/atom) = -4.819

---

The following total magnetization values (in μB per atom) correspond, in order, to the records above: 0.00, 0.00, 0.00, 0.00, 0.00, 0.00, 0.00, 0.00, 0.00, 0.00, 0.00, 0.00.
The following D(E_F) values (in states/eV/f.u.) correspond, in order, to the records above: 13.745, 22.857, 17.929, 26.370, 25.912, 10.864, 16.613, 15.951, 50.138, 8.521, 5.927, 14.176.
The following ΔH_f (0 K) values (in meV/atom) correspond, in order, to the records above: 259.3, 264.3, 14.0, 142.0, 147.5, 74.2, 427.0, 20.0, 254.4, 153.7, 14.5, 141.1.